Entry 1:
Compound: YHoCd2Ag4
Source: the Open Quantum Materials Database
Functional: PBE-GGA
Structure: relaxed Values from VASP.

Geometry as Quantum ESPRESSO input:
```
&SYSTEM
  ibrav = 0, nat = 8, ntyp = 4
/
ATOMIC_SPECIES
Y 88.91 Y.upf
Ho 164.93 Ho.upf
Cd 112.41 Cd.upf
Ag 107.87 Ag.upf
ATOMIC_POSITIONS crystal
Y 0.0000 0.0000 0.0000
Ho 0.5000 0.5000 0.5000
Cd 0.0000 0.0000 0.5000
Cd 0.5000 0.5000 0.0000
Ag 0.0000 0.5000 0.2507
Ag 0.0000 0.5000 0.7493
Ag 0.5000 0.0000 0.2507
Ag 0.5000 0.0000 0.7493
CELL_PARAMETERS angstrom
4.9386 0.0000 0.0000
0.0000 4.9386 0.0000
0.0000 0.0000 6.9821
```

* formation enthalpy at 0 K: -0.300 eV/atom

---

Entry 2:
Compound: HoZrCd2Ag4
Source: the Open Quantum Materials Database
Functional: PBE-GGA
Structure: relaxed Values from VASP.

Geometry as Quantum ESPRESSO input:
```
&SYSTEM
  ibrav = 0, nat = 8, ntyp = 4
/
ATOMIC_SPECIES
Ho 164.93 Ho.upf
Zr 91.22 Zr.upf
Cd 112.41 Cd.upf
Ag 107.87 Ag.upf
ATOMIC_POSITIONS crystal
Ho 0.0000 0.0000 0.0000
Zr 0.5000 0.5000 0.5000
Cd 0.0000 0.0000 0.5000
Cd 0.5000 0.5000 0.0000
Ag 0.0000 0.5000 0.2608
Ag 0.0000 0.5000 0.7392
Ag 0.5000 0.0000 0.2608
Ag 0.5000 0.0000 0.7392
CELL_PARAMETERS angstrom
4.8615 0.0000 0.0000
0.0000 4.8615 0.0000
0.0000 0.0000 6.8442
```

* formation enthalpy at 0 K: -0.198 eV/atom

---

Entry 3:
Compound: CdAgSI
Source: the Open Quantum Materials Database
Functional: PBE-GGA
Structure: relaxed Values from VASP.

Geometry as Quantum ESPRESSO input:
```
&SYSTEM
  ibrav = 0, nat = 16, ntyp = 4
/
ATOMIC_SPECIES
Cd 112.41 Cd.upf
Ag 107.87 Ag.upf
S 32.06 S.upf
I 126.90 I.upf
ATOMIC_POSITIONS crystal
Cd 0.0000 0.0000 0.0000
Cd 0.2500 0.0000 0.2901
Cd 0.5000 0.0000 0.0000
Cd 0.7500 0.0000 0.7099
Ag 0.0719 0.5000 0.7092
Ag 0.4281 0.5000 0.7092
Ag 0.5719 0.5000 0.2908
Ag 0.9281 0.5000 0.2908
S 0.0087 0.0000 0.2393
S 0.4913 0.0000 0.2393
S 0.5087 0.0000 0.7607
S 0.9913 0.0000 0.7607
I 0.2500 0.5000 0.4880
I 0.2500 0.5000 0.9832
I 0.7500 0.5000 0.0168
I 0.7500 0.5000 0.5120
CELL_PARAMETERS angstrom
10.0258 0.0000 0.0000
0.0000 4.6220 0.0000
0.0000 0.0000 10.2591
```

* energy above the most stable polymorph in this dataset: 9 meV per atom

---

Entry 4:
Compound: CdAgSI
Source: the Open Quantum Materials Database
Functional: PBE-GGA
Structure: relaxed Values from VASP.

Geometry as Quantum ESPRESSO input:
```
&SYSTEM
  ibrav = 0, nat = 16, ntyp = 4
/
ATOMIC_SPECIES
Cd 112.41 Cd.upf
Ag 107.87 Ag.upf
S 32.06 S.upf
I 126.90 I.upf
ATOMIC_POSITIONS crystal
Cd 0.1579 0.2475 0.4123
Cd 0.3421 0.7525 0.9123
Cd 0.6579 0.2525 0.5877
Cd 0.8421 0.7475 0.0877
Ag 0.0879 0.1772 0.8479
Ag 0.4121 0.8228 0.3479
Ag 0.5879 0.3228 0.1521
Ag 0.9121 0.6772 0.6521
S 0.0207 0.8578 0.8691
S 0.4793 0.1422 0.3691
S 0.5207 0.6422 0.1309
S 0.9793 0.3578 0.6309
I 0.0069 0.3738 0.1241
I 0.4931 0.6262 0.6241
I 0.5069 0.1262 0.8759
I 0.9931 0.8738 0.3759
CELL_PARAMETERS angstrom
7.1825 0.0000 0.0000
0.0000 7.8078 0.0000
0.0000 0.0000 8.8140
```

* energy above the most stable polymorph in this dataset: 0 meV per atom

---

Entry 5:
Compound: Li2Cd2In2AgIr
Source: the Open Quantum Materials Database
Functional: PBE-GGA
Structure: relaxed Values from VASP.

Geometry as Quantum ESPRESSO input:
```
&SYSTEM
  ibrav = 0, nat = 8, ntyp = 5
/
ATOMIC_SPECIES
Li 6.94 Li.upf
Cd 112.41 Cd.upf
In 114.82 In.upf
Ag 107.87 Ag.upf
Ir 192.22 Ir.upf
ATOMIC_POSITIONS crystal
Li 0.0000 0.0000 0.0000
Li 0.5000 0.5000 0.5000
Cd 0.0000 0.5000 0.7434
Cd 0.5000 0.0000 0.2566
In 0.0000 0.5000 0.2644
In 0.5000 0.0000 0.7356
Ag 0.5000 0.5000 0.0000
Ir 0.0000 0.0000 0.5000
CELL_PARAMETERS angstrom
4.6477 0.0000 0.0000
0.0000 4.6477 0.0000
0.0000 0.0000 6.6208
```

* raw total energy: -3.071 eV/atom

---

Entry 6:
Compound: Li2LuCdIn2Ag2
Source: the Open Quantum Materials Database
Functional: PBE-GGA
Structure: relaxed Values from VASP.

Geometry as Quantum ESPRESSO input:
```
&SYSTEM
  ibrav = 0, nat = 8, ntyp = 5
/
ATOMIC_SPECIES
Li 6.94 Li.upf
Lu 174.97 Lu.upf
Cd 112.41 Cd.upf
In 114.82 In.upf
Ag 107.87 Ag.upf
ATOMIC_POSITIONS crystal
Li 0.0000 0.5000 0.2221
Li 0.5000 0.0000 0.7779
Lu 0.0000 0.0000 0.5000
Cd 0.5000 0.5000 0.0000
In 0.0000 0.0000 0.0000
In 0.5000 0.5000 0.5000
Ag 0.0000 0.5000 0.7489
Ag 0.5000 0.0000 0.2511
CELL_PARAMETERS angstrom
4.8193 0.0000 0.0000
0.0000 4.8193 0.0000
0.0000 0.0000 6.7920
```

* raw total energy: -2.801 eV/atom

---

Entry 7:
Compound: Li2YCdIn2Ag2
Source: the Open Quantum Materials Database
Functional: PBE-GGA
Structure: relaxed Values from VASP.

Geometry as Quantum ESPRESSO input:
```
&SYSTEM
  ibrav = 0, nat = 8, ntyp = 5
/
ATOMIC_SPECIES
Li 6.94 Li.upf
Y 88.91 Y.upf
Cd 112.41 Cd.upf
In 114.82 In.upf
Ag 107.87 Ag.upf
ATOMIC_POSITIONS crystal
Li 0.0000 0.5000 0.2162
Li 0.5000 0.0000 0.7838
Y 0.0000 0.0000 0.5000
Cd 0.5000 0.5000 0.0000
In 0.0000 0.0000 0.0000
In 0.5000 0.5000 0.5000
Ag 0.0000 0.5000 0.7586
Ag 0.5000 0.0000 0.2414
CELL_PARAMETERS angstrom
4.8143 0.0000 0.0000
0.0000 4.8143 0.0000
0.0000 0.0000 6.9339
```

* raw total energy: -3.062 eV/atom

---

Entry 8:
Compound: Li2ZnCd2InAg2
Source: the Open Quantum Materials Database
Functional: PBE-GGA
Structure: relaxed Values from VASP.

Geometry as Quantum ESPRESSO input:
```
&SYSTEM
  ibrav = 0, nat = 8, ntyp = 5
/
ATOMIC_SPECIES
Li 6.94 Li.upf
Zn 65.41 Zn.upf
Cd 112.41 Cd.upf
In 114.82 In.upf
Ag 107.87 Ag.upf
ATOMIC_POSITIONS crystal
Li 0.0000 0.0000 0.0000
Li 0.5000 0.5000 0.5000
Zn 0.0000 0.0000 0.5000
Cd 0.0000 0.5000 0.2704
Cd 0.5000 0.0000 0.7296
In 0.5000 0.5000 0.0000
Ag 0.0000 0.5000 0.7332
Ag 0.5000 0.0000 0.2668
CELL_PARAMETERS angstrom
4.6321 0.0000 0.0000
0.0000 4.6321 0.0000
0.0000 0.0000 6.6617
```

* raw total energy: -2.099 eV/atom